This record from Alexandria describes Fe5O8F2 after structural relaxation. The functional is PBE with a Hubbard U.

It has space group P2_1/c (No. 14), with a = 7.597 Å, b = 4.654 Å, c = 10.154 Å, α = 90.00°, β = 114.81° and γ = 90.00°. The inequivalent atoms are Fe at (0.000, 0.000, 0.000), Fe at (0.192, 0.020, 0.787), Fe at (0.413, 0.035, 0.606), O at (0.015, 0.695, 0.675), O at (0.186, 0.213, 0.614), O at (0.386, 0.187, 0.422), O at (0.410, 0.669, 0.269) and F at (0.218, 0.705, 0.472).

Its magnetic moment is 44.01 Bohr magnetons per cell. The total energy comes out at -6.1099 eV/atom.